*P*
A geometry-optimized PaTc4Ge structure, computed with PBE-GGA.

Lattice parameters (Å, degrees): 4.484 6.032 7.433 90.00 90.00 90.00
Atoms (fractional coordinates):
Pa (0.000, 0.750, 0.656)
Pa (0.000, 0.250, 0.344)
Tc (0.000, 0.000, 0.000)
Tc (0.500, 0.487, 0.695)
Tc (0.500, 0.750, 0.990)
Tc (0.000, 0.500, 0.000)
Tc (0.500, 0.250, 0.010)
Tc (0.500, 0.013, 0.695)
Tc (0.500, 0.987, 0.305)
Tc (0.500, 0.513, 0.305)
Ge (0.000, 0.750, 0.271)
Ge (0.000, 0.250, 0.729)

Calculated values
- Symmetry: Pmma


*Q*
A geometry-optimized PaTc4Ge structure, computed with PBE-GGA.

Lattice parameters (Å, degrees): 5.291 5.291 5.291 60.00 60.00 60.00
Atoms (fractional coordinates):
Ge (0.000, 0.000, 0.000)
Pa (0.250, 0.250, 0.250)
Tc (0.627, 0.627, 0.120)
Tc (0.627, 0.120, 0.627)
Tc (0.627, 0.627, 0.627)
Tc (0.120, 0.627, 0.627)

Calculated values
- Symmetry: F-43m


Winner for stability: *P*


*P*
A geometry-optimized PaTc2Ge3 structure, computed with PBE-GGA.

Lattice parameters (Å, degrees): 4.284 5.264 9.497 90.00 90.00 90.00
Atoms (fractional coordinates):
Pa (0.000, 0.037, 0.919)
Pa (0.000, 0.537, 0.081)
Tc (0.000, 0.968, 0.253)
Tc (0.500, 0.043, 0.450)
Tc (0.000, 0.468, 0.747)
Tc (0.500, 0.543, 0.550)
Ge (0.500, 0.144, 0.148)
Ge (0.500, 0.161, 0.712)
Ge (0.000, 0.348, 0.432)
Ge (0.500, 0.644, 0.852)
Ge (0.500, 0.661, 0.288)
Ge (0.000, 0.848, 0.568)

Calculated values
- Symmetry: Pmc2_1


*Q*
A geometry-optimized PaTc2Ge3 structure, computed with PBE-GGA.

Lattice parameters (Å, degrees): 4.236 8.893 9.566 113.96 90.00 103.78
Atoms (fractional coordinates):
Pa (0.171, 0.341, 0.680)
Pa (0.829, 0.659, 0.320)
Pa (0.000, 0.000, 0.000)
Tc (0.158, 0.317, 0.059)
Tc (0.842, 0.683, 0.941)
Tc (0.464, 0.928, 0.182)
Tc (0.536, 0.072, 0.818)
Tc (0.370, 0.739, 0.552)
Tc (0.630, 0.261, 0.448)
Ge (0.024, 0.047, 0.341)
Ge (0.976, 0.953, 0.659)
Ge (0.210, 0.419, 0.372)
Ge (0.790, 0.581, 0.628)
Ge (0.624, 0.248, 0.173)
Ge (0.376, 0.752, 0.827)
Ge (0.500, 0.000, 0.500)
Ge (0.308, 0.616, 0.073)
Ge (0.692, 0.384, 0.927)

Calculated values
- Symmetry: C2/m


Winner for stability: *Q*


*P*
A geometry-optimized PaGe2Te structure, computed with PBE-GGA.

Lattice parameters (Å, degrees): 4.487 4.417 4.417 90.00 90.00 90.00
Atoms (fractional coordinates):
Ge (0.000, 0.000, 0.500)
Ge (0.000, 0.500, 0.000)
Pa (0.500, 0.000, 0.000)
Te (0.500, 0.500, 0.500)

Calculated values
- Symmetry: P4/mmm


*Q*
A geometry-optimized PaGe2Te structure, computed with PBE-GGA.

Lattice parameters (Å, degrees): 4.930 4.930 5.288 62.21 62.21 60.00
Atoms (fractional coordinates):
Ge (0.728, 0.728, 0.816)
Ge (0.272, 0.272, 0.184)
Pa (0.500, 0.500, 0.500)
Te (0.000, 0.000, 0.000)

Calculated values
- Symmetry: R-3m


Winner for stability: *P*


*P*
A geometry-optimized Pa2GeTe structure, computed with PBE-GGA.

Lattice parameters (Å, degrees): 4.243 4.243 6.002 90.00 90.00 90.00
Atoms (fractional coordinates):
Pa (0.000, 0.000, 0.875)
Pa (0.500, 0.500, 0.375)
Ge (0.500, 0.500, 0.875)
Te (0.000, 0.000, 0.375)

Calculated values
- Symmetry: P4/mmm


*Q*
A geometry-optimized Pa2GeTe structure, computed with PBE-GGA.

Lattice parameters (Å, degrees): 4.023 4.023 8.047 75.53 75.53 60.00
Atoms (fractional coordinates):
Pa (0.073, 0.073, 0.780)
Pa (0.260, 0.260, 0.219)
Ge (0.667, 0.667, 0.998)
Te (0.499, 0.499, 0.503)

Calculated values
- Symmetry: R3m


Winner for stability: *Q*